The following is a DFT calculation (PBE) of Tm5TlSb2 after structural relaxation.

```
Tm5TlSb2
1.0
2.796 -5.714 0.000
2.796 5.714 0.000
0.000 0.000 14.572
Tm Tl Sb
10 2 4
direct
0.073 0.927 0.597
0.073 0.927 0.903
0.379 0.621 0.550
0.379 0.621 0.950
0.416 0.584 0.250
0.584 0.416 0.750
0.621 0.379 0.050
0.621 0.379 0.450
0.927 0.073 0.097
0.927 0.073 0.403
0.293 0.707 0.750
0.707 0.293 0.250
0.206 0.794 0.110
0.206 0.794 0.390
0.794 0.206 0.610
0.794 0.206 0.890
```

Properties
**Density**: 9.220 g/cm³
**Raw formation energy**: -2.7 eV/f.u.
**DOS(E_F)**: 7.822 states/eV/f.u.
**Magnetic moment**: 0.0000 μB/atom

---

The following is a DFT calculation (PBE) of Sr4MgCr after structural relaxation.

```
Sr4MgCr
1.0
0.000 5.121 5.121
5.121 0.000 5.121
5.121 5.121 0.000
Sr Mg Cr
4 1 1
direct
0.125 0.125 0.125
0.125 0.125 0.625
0.125 0.625 0.125
0.625 0.125 0.125
0.500 0.500 0.500
0.750 0.750 0.750
```

Properties
**Density**: 2.639 g/cm³
**DFT formation energy**: 737 meV/atom
**DOS(E_F)**: 6.837 states/eV/f.u.
**Magnetic moment**: 0.7502 μB/atom

---

The following is a DFT calculation (PBE) of SiIr2Rh after structural relaxation.

```
SiIr2Rh
1.0
2.808 0.000 0.000
0.000 3.840 0.000
-1.395 0.000 5.233
Si Ir Rh
1 2 1
direct
0.000 0.000 0.000
0.149 0.500 0.294
0.769 0.000 0.534
0.416 0.500 0.828
```

Properties
**Density**: 15.166 g/cm³
**Raw formation energy**: -1.2 eV/f.u.
**DOS(E_F)**: 3.764 states/eV/f.u.
**Magnetic moment**: 0.0000 μB/atom

---

The following is a DFT calculation (PBE) of CsRb2NaPb after structural relaxation.

```
CsRb2NaPb
1.0
7.081 0.000 0.000
0.000 7.081 0.000
0.000 0.000 6.000
Cs Rb Na Pb
1 2 1 1
direct
0.000 0.000 0.000
0.000 0.500 0.500
0.500 0.000 0.500
0.500 0.500 0.500
0.500 0.500 0.000
```

Properties
**Relative energy among the computed polymorphs**: 0.0669 eV per atom
**Density**: 2.947 g/cm³
**DFT formation energy**: 76 meV/atom
**DOS(E_F)**: 5.188 states/eV/f.u.
**Magnetic moment**: 0.0000 μB/atom

---

The following is a DFT calculation (PBE) of SnO2F after structural relaxation.

```
SnO2F
1.0
0.000 2.698 2.698
2.698 0.000 2.698
2.698 2.698 0.000
Sn O F
1 2 1
direct
0.000 0.000 0.000
0.250 0.250 0.250
0.750 0.750 0.750
0.500 0.500 0.500
```

Properties
**Relative energy among the computed polymorphs**: 0.4064 eV per atom
**Density**: 7.174 g/cm³
**Raw formation energy**: -2.8 eV/f.u.
**DOS(E_F)**: 2.719 states/eV/f.u.
**Magnetic moment**: 0.2504 μB/atom

---

The following is a DFT calculation (PBE) of Np2Sn5Rh3 after structural relaxation.

```
Np2Sn5Rh3
1.0
2.246 -13.349 0.000
2.246 13.349 0.000
0.000 0.000 7.157
Np Sn Rh
4 10 6
direct
0.025 0.975 0.500
0.332 0.668 0.447
0.668 0.332 0.947
0.975 0.025 0.000
0.096 0.904 0.125
0.207 0.793 0.662
0.209 0.791 0.232
0.378 0.622 0.995
0.452 0.548 0.339
0.548 0.452 0.839
0.622 0.378 0.495
0.791 0.209 0.732
0.793 0.207 0.162
0.904 0.096 0.625
0.105 0.895 0.742
0.277 0.723 0.947
0.450 0.550 0.729
0.550 0.450 0.229
0.723 0.277 0.447
0.895 0.105 0.242
```

Properties
**Density**: 10.649 g/cm³
**DFT formation energy**: -384 meV/atom
**DOS(E_F)**: 20.688 states/eV/f.u.
**Magnetic moment**: 0.7572 μB/atom

---

The following is a DFT calculation (PBE) of KNa2ZnAg after structural relaxation.

```
KNa2ZnAg
1.0
5.703 0.000 0.000
0.000 5.703 0.000
0.000 0.000 5.182
K Na Zn Ag
1 2 1 1
direct
0.000 0.000 0.000
0.000 0.500 0.500
0.500 0.000 0.500
0.500 0.500 0.000
0.500 0.500 0.500
```

Properties
**Relative energy among the computed polymorphs**: 0.0000 eV per atom
**Density**: 2.546 g/cm³
**DFT formation energy**: 66 meV/atom
**DOS(E_F)**: 2.660 states/eV/f.u.
**Magnetic moment**: 0.0000 μB/atom

---

The following is a DFT calculation (PBE) of Pr4Nd2Dy5 after structural relaxation.

```
Pr4Nd2Dy5
1.0
9.884 -2.965 0.000
9.884 2.965 0.000
-0.578 0.000 6.379
Pr Nd Dy
4 2 5
direct
0.036 0.036 0.267
0.307 0.307 0.928
0.693 0.693 0.072
0.964 0.964 0.733
0.402 0.402 0.456
0.598 0.598 0.544
0.131 0.131 0.850
0.215 0.215 0.392
0.500 0.500 0.000
0.785 0.785 0.608
0.869 0.869 0.150
```

Properties
**Relative energy among the computed polymorphs**: 0.0000 eV per atom
**Density**: 7.395 g/cm³
**DFT formation energy**: 100 meV/atom
**DOS(E_F)**: 20.045 states/eV/f.u.
**Magnetic moment**: 0.0000 μB/atom

---

The following is a DFT calculation (PBE) of MnTc2GeC after structural relaxation.

```
MnTc2GeC
1.0
4.103 0.000 0.000
0.000 4.103 0.000
0.000 0.000 3.795
Mn Tc Ge C
1 2 1 1
direct
0.000 0.000 0.000
0.000 0.500 0.500
0.500 0.000 0.500
0.500 0.500 0.000
0.000 0.000 0.500
```

Properties
**Density**: 8.722 g/cm³
**DFT formation energy**: 55 meV/atom
**DOS(E_F)**: 3.290 states/eV/f.u.
**Magnetic moment**: 0.4697 μB/atom

---

The following is a DFT calculation (PBE) of Mn2CdIn after structural relaxation.

```
Mn2CdIn
1.0
-1.584 2.336 4.848
1.584 -2.336 4.848
1.584 2.336 -4.848
Mn Cd In
2 1 1
direct
0.000 0.000 0.000
0.774 0.274 0.500
0.251 0.751 0.500
0.518 0.518 0.000
```

Properties
**Density**: 7.802 g/cm³
**DFT formation energy**: 287 meV/atom
**DOS(E_F)**: 2.952 states/eV/f.u.
**Magnetic moment**: 1.7244 μB/atom

---

The following is a DFT calculation (PBE) of Li4Mg4Al3 after structural relaxation.

```
Li4Mg4Al3
1.0
-2.417 2.852 8.232
2.417 -2.852 8.232
2.417 2.852 -8.232
Li Mg Al
4 4 3
direct
0.048 0.818 0.231
0.413 0.182 0.231
0.587 0.818 0.769
0.952 0.182 0.769
0.243 0.000 0.243
0.338 0.338 0.000
0.662 0.662 0.000
0.757 0.000 0.757
0.088 0.588 0.500
0.500 0.500 0.000
0.912 0.412 0.500
```

Properties
**Relative energy among the computed polymorphs**: 0.1158 eV per atom
**Density**: 1.507 g/cm³
**DFT formation energy**: 113 meV/atom
**DOS(E_F)**: 3.344 states/eV/f.u.
**Magnetic moment**: 0.0000 μB/atom

---

The following is a DFT calculation (PBE) of PmHo2Co after structural relaxation.

```
PmHo2Co
1.0
3.394 0.000 0.000
0.000 3.394 0.000
0.000 0.000 8.913
Pm Ho Co
1 2 1
direct
0.000 0.000 0.000
0.500 0.500 0.320
0.500 0.500 0.680
0.000 0.000 0.500
```

Properties
**Relative energy among the computed polymorphs**: 0.0667 eV per atom
**Density**: 8.633 g/cm³
**DFT formation energy**: -78 meV/atom
**DOS(E_F)**: 3.659 states/eV/f.u.
**Magnetic moment**: 0.1663 μB/atom

---

The following is a DFT calculation (PBE) of LuGaIrPt after structural relaxation.

```
LuGaIrPt
1.0
0.000 3.242 3.242
3.242 0.000 3.242
3.242 3.242 0.000
Lu Ga Ir Pt
1 1 1 1
direct
0.000 0.000 0.000
0.500 0.500 0.500
0.250 0.250 0.250
0.750 0.750 0.750
```

Properties
**Density**: 15.400 g/cm³
**DFT formation energy**: -770 meV/atom
**DOS(E_F)**: 3.020 states/eV/f.u.
**Magnetic moment**: 0.0000 μB/atom

---

The following is a DFT calculation (PBE) of Ti2IrSI after structural relaxation.

```
Ti2IrSI
1.0
4.889 0.000 0.000
0.000 4.889 0.000
0.000 0.000 5.167
Ti Ir S I
2 1 1 1
direct
0.000 0.500 0.000
0.500 0.000 0.000
0.000 0.000 0.000
0.500 0.500 0.500
0.000 0.000 0.500
```

Properties
**Relative energy among the computed polymorphs**: 0.0000 eV per atom
**Density**: 6.010 g/cm³
**Raw formation energy**: 3.3 eV/f.u.
**DOS(E_F)**: 6.301 states/eV/f.u.
**Magnetic moment**: 0.0000 μB/atom

---

The following is a DFT calculation (PBE) of TbScRuAu after structural relaxation.

```
TbScRuAu
1.0
0.000 3.416 3.416
3.416 0.000 3.416
3.416 3.416 0.000
Tb Sc Ru Au
1 1 1 1
direct
0.000 0.000 0.000
0.500 0.500 0.500
0.250 0.250 0.250
0.750 0.750 0.750
```

Properties
**Density**: 10.455 g/cm³
**DFT formation energy**: -581 meV/atom
**DOS(E_F)**: 2.296 states/eV/f.u.
**Magnetic moment**: 0.0000 μB/atom

---

The following is a DFT calculation (PBE) of NpTl2O2F4 after structural relaxation.

```
NpTl2O2F4
1.0
5.382 -3.221 0.000
5.382 3.221 0.000
-0.205 0.000 4.978
Np Tl O F
1 2 2 4
direct
0.000 0.000 0.000
0.335 0.335 0.644
0.665 0.665 0.356
0.137 0.137 0.230
0.863 0.863 0.770
0.160 0.667 0.229
0.333 0.840 0.771
0.667 0.160 0.229
0.840 0.333 0.771
```

Properties
**Density**: 7.253 g/cm³
**Raw formation energy**: -22.5 eV/f.u.
**Magnetic moment**: 0.1111 μB/atom

---

The following is a DFT calculation (PBE) of GdErLuTh after structural relaxation.

```
GdErLuTh
1.0
0.000 3.981 3.981
3.981 0.000 3.981
3.981 3.981 0.000
Gd Er Lu Th
1 1 1 1
direct
0.000 0.000 0.000
0.750 0.750 0.750
0.250 0.250 0.250
0.500 0.500 0.500
```

Properties
**Density**: 9.624 g/cm³
**DFT formation energy**: 108 meV/atom
**DOS(E_F)**: 6.917 states/eV/f.u.
**Magnetic moment**: 1.8336 μB/atom

---

The following is a DFT calculation (PBE) of Li2Sc2Cu after structural relaxation.

```
Li2Sc2Cu
1.0
-1.677 1.677 8.623
1.677 -1.677 8.623
1.677 1.677 -8.623
Li Sc Cu
2 2 1
direct
0.250 0.750 0.500
0.750 0.250 0.500
0.090 0.090 0.000
0.910 0.910 0.000
0.500 0.500 0.000
```

Properties
**Relative energy among the computed polymorphs**: 0.0000 eV per atom
**Density**: 2.866 g/cm³
**DFT formation energy**: 136 meV/atom
**DOS(E_F)**: 5.351 states/eV/f.u.
**Magnetic moment**: 0.0000 μB/atom

---

The following is a DFT calculation (PBE) of MgCdPt2Cl after structural relaxation.

```
MgCdPt2Cl
1.0
4.987 0.000 0.000
0.000 4.987 0.000
0.000 0.000 5.344
Mg Cd Pt Cl
1 1 2 1
direct
0.000 0.000 0.000
0.000 0.000 0.500
0.000 0.500 0.500
0.500 0.000 0.500
0.500 0.500 0.000
```

Properties
**Density**: 7.025 g/cm³
**Raw formation energy**: 3.9 eV/f.u.
**DOS(E_F)**: 3.245 states/eV/f.u.
**Magnetic moment**: 0.0000 μB/atom

---

The following is a DFT calculation (PBE) of SrCaPmPr after structural relaxation.

```
SrCaPmPr
1.0
0.000 4.307 4.307
4.307 0.000 4.307
4.307 4.307 0.000
Sr Ca Pm Pr
1 1 1 1
direct
0.000 0.000 0.000
0.750 0.750 0.750
0.250 0.250 0.250
0.500 0.500 0.500
```

Properties
**Density**: 4.298 g/cm³
**DFT formation energy**: 153 meV/atom
**DOS(E_F)**: 4.264 states/eV/f.u.
**Magnetic moment**: 0.0000 μB/atom